No. 1
The following is a DFT calculation (PBE-GGA) of a relaxed structure of Y2CrMo.

a = 3.2199 Å, b = 3.2202 Å, c = 9.0217 Å
α = 69.22°, β = 90.00°, γ = 90.00°
Last column: nearest neighbours and their distance in Å.
Fractional coordinates of all 4 atoms:
Cr1 0.0000 0.4488 0.5528  4 Mo 2.56-2.57
Mo1 0.5000 0.8063 0.6923  4 Cr 2.56-2.57
Y1 0.0000 0.0557 0.9413  4 Mo 3.09-3.10, 4 Y 3.22, 1 Cr 3.28
Y2 0.5000 0.1892 0.3136  4 Cr 3.04-3.05, 1 Mo 3.19, 4 Y 3.22

Results
SG = Pm (6)
Energy relative to the lowest polymorph listed for this composition = 0.000 eV per formula unit
Theoretical density = 6.18 g cm⁻³
ΔE_f = 253 meV/atom


No. 2
The following is a DFT calculation (PBE-GGA) of a relaxed structure of Y2CrMo.

a = 5.0050 Å, b = 5.0050 Å, c = 5.0050 Å
α = 60.00°, β = 60.00°, γ = 60.00°
Last column: nearest neighbours and their distance in Å.
Fractional coordinates of all 4 atoms:
Y1 0.2500 0.2500 0.2500  4 Mo 3.06, 4 Cr 3.06
Y2 0.7500 0.7500 0.7500  4 Mo 3.06, 4 Cr 3.06
Cr1 0.0000 0.0000 0.0000  8 Y 3.06
Mo1 0.5000 0.5000 0.5000  8 Y 3.06

Results
SG = Fm-3m (225)
Energy relative to the lowest polymorph listed for this composition = 0.936 eV per formula unit
Theoretical density = 6.10 g cm⁻³
ΔE_f = 487 meV/atom


No. 3
The following is a DFT calculation (PBE-GGA) of a relaxed structure of Y2CrMo.

a = 5.0300 Å, b = 5.0300 Å, c = 6.0350 Å
α = 83.09°, β = 83.09°, γ = 36.22°
Last column: nearest neighbours and their distance in Å.
Fractional coordinates of all 4 atoms:
Cr1 0.2500 0.2500 0.2500  6 Y 2.98-3.11, 2 Cr 3.13
Mo1 0.7500 0.7500 0.7500  6 Y 2.99-3.06, 2 Mo 3.13
Y1 0.0025 0.0025 0.9951  3 Cr 2.98-3.11, 3 Mo 2.99-3.06, 2 Y 3.13
Y2 0.4975 0.4975 0.5049  3 Cr 2.98-3.11, 3 Mo 2.99-3.06, 2 Y 3.13

Results
SG = C2/m (12)
Energy relative to the lowest polymorph listed for this composition = 1.747 eV per formula unit
Theoretical density = 6.04 g cm⁻³
ΔE_f = 690 meV/atom


No. 4
The following is a DFT calculation (PBE-GGA) of a relaxed structure of YCrMo2.

a = 4.5640 Å, b = 4.5640 Å, c = 4.5640 Å
α = 60.00°, β = 60.00°, γ = 60.00°
Last column: nearest neighbours and their distance in Å.
Fractional coordinates of all 4 atoms:
Y1 0.5000 0.5000 0.5000  8 Mo 2.79
Cr1 0.0000 0.0000 0.0000  8 Mo 2.79
Mo1 0.2500 0.2500 0.2500  4 Y 2.79, 4 Cr 2.79
Mo2 0.7500 0.7500 0.7500  4 Y 2.79, 4 Cr 2.79

Results
SG = Fm-3m (225)
Energy relative to the lowest polymorph listed for this composition = 0.937 eV per formula unit
Theoretical density = 8.22 g cm⁻³
ΔE_f = 550 meV/atom


No. 5
The following is a DFT calculation (PBE-GGA) of a relaxed structure of Y2CrMo.

a = 5.9226 Å, b = 5.9226 Å, c = 5.9226 Å
α = 146.37°, β = 129.81°, γ = 61.78°
Last column: nearest neighbours and their distance in Å.
Fractional coordinates of all 4 atoms:
Cr1 0.4562 0.4562 0.0000  2 Mo 2.35
Mo1 0.2980 0.7980 0.5000  2 Cr 2.35
Y1 0.0128 0.0128 0.0000  4 Cr 3.09, 6 Y 3.32-3.43, 4 Mo 3.33-3.37
Y2 0.7330 0.2330 0.5000  4 Mo 3.11, 4 Cr 3.29-3.38, 6 Y 3.32-3.43

Results
SG = Imm2 (44)
Energy relative to the lowest polymorph listed for this composition = 0.094 eV per formula unit
Theoretical density = 6.18 g cm⁻³
ΔE_f = 276 meV/atom


No. 6
The following is a DFT calculation (PBE-GGA) of a relaxed structure of YCrMo.

a = 4.4335 Å, b = 4.4335 Å, c = 4.4335 Å
α = 60.00°, β = 60.00°, γ = 60.00°
Last column: nearest neighbours and their distance in Å.
Fractional coordinates of all 3 atoms:
Cr1 0.7500 0.7500 0.7500  4 Mo 2.71, 4 Y 2.71
Mo1 0.0000 0.0000 0.0000  4 Cr 2.71
Y1 0.5000 0.5000 0.5000  4 Cr 2.71

Results
SG = F-43m (216)
Energy relative to the lowest polymorph listed for this composition = 1.460 eV per formula unit
Theoretical density = 6.38 g cm⁻³
ΔE_f = 813 meV/atom